DFT (PBE) results for a relaxed NaSc2PaBi4 crystal.

Unit cell a=7.4703 b=4.3893 c=7.6764 alpha=90.00 beta=108.43 gamma=90.00
Space group P2/m (No. 10)
Inequivalent atoms, fractional coordinates:
Na 0.0000 0.0000 0.0000
Sc 0.0000 0.5000 0.5000
Sc 0.5000 0.0000 0.5000
Pa 0.5000 0.5000 0.0000
Bi 0.2457 0.0000 0.7374
Bi 0.2625 0.5000 0.2662

Values from the calculation:
**Volume**: 29.8 Å³/atom
**Energy relative to the elements**: -386 meV per atom